Compound: LaMgTa2
Source: Alexandria
Functional: PBE
Structure: optimized geometry

abc: 3.1400 5.0261 10.9379
angles: 90.00 90.00 90.00
Closest atoms and distances in Å follow each position.
Space group Cmmm (No. 65)
Unique sites:
La 0.0000 0.0000 0.0000  6 La 2.96-3.14, 4 Ta 3.31
Mg 0.0000 0.0000 0.5000  6 Mg 2.96-3.14, 4 Ta 3.00
Ta 0.0000 0.5000 0.2664  6 Ta 2.96-3.14, 2 Mg 3.00, 2 La 3.31

DFT formation energy, eV per atom: 0.54
DOS at the Fermi energy, states/eV per cell: 10.67
M_tot, μB/f.u.: 0.00

---

Compound: EuLuGe2
Source: Alexandria
Functional: PBE
Structure: optimized geometry

abc: 5.2786 5.2786 3.3449
angles: 90.00 90.00 90.00
Closest atoms and distances in Å follow each position.
Space group P4/mmm (No. 123)
Unique sites:
Eu 0.0000 0.0000 0.0000  8 Ge 3.12, 2 Eu 3.34
Lu 0.5000 0.5000 0.0000  8 Ge 3.12, 2 Lu 3.34
Ge 0.0000 0.5000 0.5000  4 Lu 3.12, 4 Eu 3.12, 2 Ge 3.34

DFT formation energy, eV per atom: -0.52
DOS at the Fermi energy, states/eV per cell: 2.09
M_tot, μB/f.u.: 7.00

---

Compound: Er4Tl3O
Source: Alexandria
Functional: PBE
Structure: optimized geometry

abc: 7.2227 8.8989 6.9529
angles: 90.00 90.00 90.00
Closest atoms and distances in Å follow each position.
Space group Pmn2_1 (No. 31)
Unique sites:
Er 0.0000 0.1099 0.0000  1 O 2.23
Er 0.0000 0.7358 0.3196  1 O 2.22
Er 0.2369 0.7799 0.8806  1 O 2.18
Tl 0.0000 0.0058 0.5826  6 Er 3.02-3.36
Tl 0.2201 0.4642 0.0682  4 Er 3.09-3.38, 1 Tl 3.18
O 0.0000 0.8621 0.0447  4 Er 2.18-2.23

DOS at the Fermi energy, states/eV per cell: 7.08
M_tot, μB/f.u.: 0.00
Raw formation energy, kJ per mole of atoms: -75.3